No. 1
# SrP3

Crystalline SrP3 at its relaxed geometry (PBE-GGA, the Alexandria database).

It has space group Cmmm (No. 65), with a = 4.7902 Å, b = 5.8074 Å, c = 5.9261 Å, α = 90.00°, β = 90.00° and γ = 90.00°. The inequivalent atoms are Sr at (0.0000, 0.0000, 0.0000), P at (0.0000, 0.0000, 0.5000) and P at (0.0000, 0.5000, 0.3186).

No. 2
# SrP3

Crystalline SrP3 at its relaxed geometry (PBE-GGA, the Alexandria database).

It has space group P-6m2 (No. 187), with a = 3.5854 Å, b = 3.5854 Å, c = 7.5693 Å, α = 90.00°, β = 90.00° and γ = 120.00°. The inequivalent atoms are Sr at (0.0000, 0.0000, 0.0000), P at (0.0000, 0.0000, 0.5000) and P at (0.3333, 0.6667, 0.2978).

No. 3
# Sr3P

Crystalline Sr3P at its relaxed geometry (PBE-GGA, the Alexandria database).

The value obtained for the distance to the lowest polymorph of the same formula is 130.6 meV per atom.

It has space group P4/mmm (No. 123), with a = 3.8902 Å, b = 3.8902 Å, c = 10.4255 Å, α = 90.00°, β = 90.00° and γ = 90.00°. The inequivalent atoms are Sr at (0.0000, 0.0000, 0.0000), Sr at (0.5000, 0.5000, 0.3472) and P at (0.0000, 0.0000, 0.5000).

No. 4
# Sr5P

Crystalline Sr5P at its relaxed geometry (PBE-GGA, the Alexandria database).

The value obtained for the distance to the lowest polymorph of the same formula is 65.0 meV per atom.

It has space group Cmmm (No. 65), with a = 4.0145 Å, b = 30.0537 Å, c = 4.6802 Å, α = 90.00°, β = 90.00° and γ = 90.00°. The inequivalent atoms are Sr at (0.0000, 0.0000, 0.0000), Sr at (0.0000, 0.0874, 0.5000), Sr at (0.0000, 0.3126, 0.0000) and P at (0.0000, 0.5000, 0.5000).

No. 5
# Sr3P4

Crystalline Sr3P4 at its relaxed geometry (PBE-GGA, the Alexandria database).

It has space group Fdd2 (No. 43), with a = 14.3651 Å, b = 17.4652 Å, c = 5.8714 Å, α = 90.00°, β = 90.00° and γ = 90.00°. The inequivalent atoms are Sr at (0.0000, 0.0000, 0.0000), Sr at (0.0018, 0.3318, 0.9915), P at (0.0808, 0.0010, 0.4963) and P at (0.0916, 0.3270, 0.5037).

No. 6
# Sr3P

Crystalline Sr3P at its relaxed geometry (PBE-GGA, the Alexandria database).

The value obtained for the distance to the lowest polymorph of the same formula is 471.0 meV per atom.

It has space group I4/mmm (No. 139), with a = 4.9104 Å, b = 4.9104 Å, c = 11.4072 Å, α = 90.00°, β = 90.00° and γ = 90.00°. The inequivalent atoms are Sr at (0.0000, 0.0000, 0.0000), Sr at (0.0000, 0.5000, 0.2500) and P at (0.0000, 0.0000, 0.5000).

No. 7
# SrP3

Crystalline SrP3 at its relaxed geometry (PBE-GGA, the Alexandria database).

It has space group Pmmn (No. 59, origin choice 2), with a = 5.6066 Å, b = 6.3846 Å, c = 5.1524 Å, α = 90.00°, β = 90.00° and γ = 90.00°. The inequivalent atoms are Sr at (0.2500, 0.2500, 0.1092), P at (0.2500, 0.5855, 0.5561) and P at (0.2500, 0.7500, 0.1627).

No. 8
# Sr3P

Crystalline Sr3P at its relaxed geometry (PBE-GGA, the Alexandria database).

The value obtained for the distance to the lowest polymorph of the same formula is 663.7 meV per atom.

It has space group Fm-3m (No. 225), with a = 8.2878 Å, b = 8.2878 Å, c = 8.2878 Å, α = 90.00°, β = 90.00° and γ = 90.00°. The inequivalent atoms are Sr at (0.0000, 0.0000, 0.0000), Sr at (0.2500, 0.2500, 0.2500) and P at (0.0000, 0.0000, 0.5000).

No. 9
# SrP

Crystalline SrP at its relaxed geometry (PBE-GGA, the Alexandria database).

It has space group Cmcm (No. 63), with a = 4.4586 Å, b = 10.8877 Å, c = 4.3523 Å, α = 90.00°, β = 90.00° and γ = 90.00°. The inequivalent atoms are Sr at (0.0000, 0.1376, 0.2500) and P at (0.0000, 0.4375, 0.2500).

No. 10
# SrP2

Crystalline SrP2 at its relaxed geometry (PBE-GGA, the Alexandria database).

It has space group P6_3/mmc (No. 194), with a = 5.0995 Å, b = 5.0995 Å, c = 6.0446 Å, α = 90.00°, β = 90.00° and γ = 120.00°. The inequivalent atoms are Sr at (0.3333, 0.6667, 0.2500), P at (0.0000, 0.0000, 0.0000) and P at (0.3333, 0.6667, 0.7500).

No. 11
# SrP

Crystalline SrP at its relaxed geometry (PBE-GGA, the Alexandria database).

It has space group Cmcm (No. 63), with a = 3.2945 Å, b = 11.8914 Å, c = 5.3503 Å, α = 90.00°, β = 90.00° and γ = 90.00°. The inequivalent atoms are Sr at (0.0000, 0.1190, 0.2500) and P at (0.0000, 0.3793, 0.2500).

No. 12
# SrP

Crystalline SrP at its relaxed geometry (PBE-GGA, the Alexandria database).

It has space group Imm2 (No. 44), with a = 4.8855 Å, b = 12.6944 Å, c = 6.0950 Å, α = 90.00°, β = 90.00° and γ = 90.00°. The inequivalent atoms are Sr at (0.0000, 0.0000, 0.0000), Sr at (0.0000, 0.3083, 0.0552), P at (0.0000, 0.3448, 0.5507) and P at (0.0000, 0.5000, 0.7531).

No. 13
# SrP

Crystalline SrP at its relaxed geometry (PBE-GGA, the Alexandria database).

It has space group Pmmn (No. 59, origin choice 2), with a = 6.1539 Å, b = 11.3805 Å, c = 5.4889 Å, α = 90.00°, β = 90.00° and γ = 90.00°. The inequivalent atoms are Sr at (0.2500, 0.1008, 0.0866), Sr at (0.2500, 0.7500, 0.4346), P at (0.2500, 0.2500, 0.5805) and P at (0.2500, 0.6530, 0.9344).

No. 14
# SrP

Crystalline SrP at its relaxed geometry (PBE-GGA, the Alexandria database).

It has space group Cm (No. 8), with a = 10.6663 Å, b = 4.4539 Å, c = 7.5150 Å, α = 90.00°, β = 107.64° and γ = 90.00°. The inequivalent atoms are Sr at (0.0000, 0.0000, 0.0000), Sr at (0.1429, 0.5000, 0.6863), Sr at (0.3176, 0.5000, 0.3427), P at (0.1288, 0.0000, 0.4069), P at (0.2878, 0.0000, 0.9791) and P at (0.3637, 0.0000, 0.7295).

No. 15
# SrP2

Crystalline SrP2 at its relaxed geometry (PBE-GGA, the Alexandria database).

It has space group Cm (No. 8), with a = 9.9117 Å, b = 4.5572 Å, c = 6.8305 Å, α = 90.00°, β = 101.56° and γ = 90.00°. The inequivalent atoms are Sr at (0.0000, 0.0000, 0.0000), Sr at (0.2257, 0.0000, 0.5669), P at (0.0218, 0.5000, 0.3408), P at (0.1780, 0.5000, 0.8718), P at (0.2055, 0.5000, 0.2014) and P at (0.4074, 0.5000, 0.4096).

No. 16
# Sr3P

Crystalline Sr3P at its relaxed geometry (PBE-GGA, the Alexandria database).

The value obtained for the distance to the lowest polymorph of the same formula is 338.0 meV per atom.

It has space group I4/mmm (No. 139), with a = 4.9427 Å, b = 4.9427 Å, c = 24.6134 Å, α = 90.00°, β = 90.00° and γ = 90.00°. The inequivalent atoms are Sr at (0.0000, 0.0000, 0.1177), Sr at (0.0000, 0.5000, 0.0000), Sr at (0.0000, 0.5000, 0.2500) and P at (0.0000, 0.0000, 0.4126).

No. 17
# SrP3

Crystalline SrP3 at its relaxed geometry (PBE-GGA, the Alexandria database).

It has space group P-1 (No. 2), with a = 5.7444 Å, b = 5.8997 Å, c = 5.9032 Å, α = 77.03°, β = 71.83° and γ = 71.98°. The inequivalent atoms are Sr at (0.1475, 0.1635, 0.1626), P at (0.3089, 0.4887, 0.4889), P at (0.3205, 0.1047, 0.6145) and P at (0.3213, 0.6152, 0.1050).

No. 18
# SrP

Crystalline SrP at its relaxed geometry (PBE-GGA, the Alexandria database).

It has space group Fddd (No. 70, origin choice 2), with a = 7.9514 Å, b = 8.6156 Å, c = 17.1066 Å, α = 90.00°, β = 90.00° and γ = 90.00°. The inequivalent atoms are Sr at (0.1166, 0.3750, 0.3750) and P at (0.1250, 0.1250, 0.2568).

No. 19
# SrP2

Crystalline SrP2 at its relaxed geometry (PBE-GGA, the Alexandria database).

It has space group I4/mmm (No. 139), with a = 4.3289 Å, b = 4.3289 Å, c = 8.1366 Å, α = 90.00°, β = 90.00° and γ = 90.00°. The inequivalent atoms are Sr at (0.0000, 0.0000, 0.0000) and P at (0.0000, 0.0000, 0.3733).

No. 20
# Sr3P

Crystalline Sr3P at its relaxed geometry (PBE-GGA, the Alexandria database).

The value obtained for the distance to the lowest polymorph of the same formula is 0.0 meV per atom.

It has space group R-3m (No. 166, hexagonal axes), with a = 4.4103 Å, b = 4.4103 Å, c = 33.2067 Å, α = 90.00°, β = 90.00° and γ = 120.00°. The inequivalent atoms are Sr at (0.0000, 0.0000, 0.0000), Sr at (0.0000, 0.0000, 0.2143) and P at (0.0000, 0.0000, 0.5000).

Record order is preserved below.
Energy relative to the elements: -0.07, 0.13, -0.49, -0.25, -0.96, -0.14, -0.35, 0.05, -0.75, -0.04, -0.69, -0.82, -0.77, -0.86, -0.61, -0.28, -0.64, -0.44, -0.57, -0.62 eV/atom